#P
A geometry-optimized LaAlPdAu structure, computed with GGA-PBE.

## Properties
M_tot (μB per cell): 0.00

a b c (Å): 5.9759 5.9759 5.9759
angles (deg): 43.15 43.15 43.15
Closest atoms and distances in Å follow each position.
Atoms (fractional coordinates):
La (0.0000, 0.0000, 0.0000)  3 Pd 3.14, 4 Al 3.22-3.35, 4 Au 3.29-3.31
Al (0.8018, 0.8018, 0.8018)  3 Pd 2.56, 3 Au 2.76
Pd (0.4476, 0.4476, 0.4476)  3 Al 2.56
Au (0.2027, 0.2027, 0.2027)  3 Al 2.76, 3 Pd 2.92

#Q
A geometry-optimized LaAlPdAu structure, computed with GGA-PBE.

## Properties
M_tot (μB per cell): 0.00

a b c (Å): 4.9389 4.9389 4.9389
angles (deg): 60.00 60.00 60.00
Closest atoms and distances in Å follow each position.
Atoms (fractional coordinates):
La (0.0000, 0.0000, 0.0000)  4 Au 3.02, 4 Pd 3.02
Al (0.5000, 0.5000, 0.5000)  4 Pd 3.02, 4 Au 3.02
Pd (0.2500, 0.2500, 0.2500)  4 Al 3.02, 4 La 3.02
Au (0.7500, 0.7500, 0.7500)  4 Al 3.02, 4 La 3.02

Tell me which of them is the most stable. Sure, it is #P.

#P
A geometry-optimized RbLa2AlAu structure, computed with GGA-PBE.

## Properties
M_tot (μB per cell): 0.94

a b c (Å): 5.8285 5.8285 6.1126
angles (deg): 90.00 90.00 90.00
Closest atoms and distances in Å follow each position.
Atoms (fractional coordinates):
Rb (0.0000, 0.0000, 0.0000)  2 Au 3.06
La (0.0000, 0.5000, 0.5000)  2 Au 2.91
La (0.5000, 0.0000, 0.5000)  2 Au 2.91
Al (0.5000, 0.5000, 0.0000)  4 Rb 4.12, 8 La 4.22
Au (0.0000, 0.0000, 0.5000)  4 La 2.91, 2 Rb 3.06

#Q
A geometry-optimized RbLa2AlAu structure, computed with GGA-PBE.

## Properties
M_tot (μB per cell): 0.00

a b c (Å): 5.7173 5.7173 5.3108
angles (deg): 90.00 90.00 90.00
Closest atoms and distances in Å follow each position.
Atoms (fractional coordinates):
Rb (0.0000, 0.0000, 0.0000)  2 Au 2.66, 4 La 2.86
La (0.0000, 0.5000, 0.0000)  2 Rb 2.86
La (0.5000, 0.0000, 0.0000)  2 Rb 2.86
Al (0.5000, 0.5000, 0.5000)  8 La 3.90, 4 Au 4.04
Au (0.0000, 0.0000, 0.5000)  2 Rb 2.66

Tell me which of them is the most stable. Sure, it is #P.

#P
A geometry-optimized LiAl2Au7 structure, computed with GGA-PBE.

## Properties
M_tot (μB per cell): 0.00

a b c (Å): 7.3672 7.3672 4.5546
angles (deg): 90.00 90.00 118.66
Closest atoms and distances in Å follow each position.
Atoms (fractional coordinates):
Li (0.0000, 0.0000, 0.0000)  2 Au 2.66
Al (0.2978, 0.7022, 0.5000)  7 Au 2.53-2.72
Al (0.7022, 0.2978, 0.5000)  7 Au 2.53-2.72
Au (0.0727, 0.3020, 0.5000)  2 Al 2.60-2.72, 3 Au 2.76-2.91
Au (0.2102, 0.7898, 0.0000)  2 Al 2.53, 1 Li 2.66
Au (0.3020, 0.0727, 0.5000)  2 Al 2.60-2.72, 3 Au 2.76-2.91
Au (0.5000, 0.5000, 0.5000)  2 Al 2.56, 4 Au 2.76
Au (0.6980, 0.9273, 0.5000)  2 Al 2.60-2.72, 3 Au 2.76-2.91
Au (0.7898, 0.2102, 0.0000)  2 Al 2.53, 1 Li 2.66
Au (0.9273, 0.6980, 0.5000)  2 Al 2.60-2.72, 3 Au 2.76-2.91

#Q
A geometry-optimized LiAl2Au7 structure, computed with GGA-PBE.

## Properties
M_tot (μB per cell): 0.00

a b c (Å): 10.4430 10.4430 10.4430
angles (deg): 156.42 156.42 33.59
Closest atoms and distances in Å follow each position.
Atoms (fractional coordinates):
Li (0.0000, 0.0000, 0.0000)  12 Au 2.89-3.02
Al (0.3280, 0.3280, 0.0000)  8 Au 2.61-2.64
Al (0.6720, 0.6720, 0.0000)  8 Au 2.61-2.64
Au (0.0972, 0.5972, 0.5000)  2 Al 2.61, 2 Li 2.89, 2 Au 2.89
Au (0.2500, 0.7500, 0.5000)  4 Al 2.64
Au (0.4028, 0.9028, 0.5000)  2 Al 2.61, 2 Li 2.89, 2 Au 2.89
Au (0.5000, 0.5000, 0.0000)  8 Au 2.89, 4 Li 3.02
Au (0.5972, 0.0972, 0.5000)  2 Al 2.61, 2 Li 2.89, 2 Au 2.89
Au (0.7500, 0.2500, 0.5000)  4 Al 2.64
Au (0.9028, 0.4028, 0.5000)  2 Al 2.61, 2 Li 2.89, 2 Au 2.89

Tell me which of them is the most stable. Sure, it is #Q.

#P
A geometry-optimized Li4AlAu5 structure, computed with GGA-PBE.

## Properties
M_tot (μB per cell): 0.00

a b c (Å): 6.2748 6.2748 6.2748
angles (deg): 99.29 99.29 132.63
Closest atoms and distances in Å follow each position.
Atoms (fractional coordinates):
Li (0.1407, 0.7546, 0.8953)  4 Au 2.46-2.66
Li (0.2454, 0.1407, 0.3861)  4 Au 2.46-2.66
Li (0.7546, 0.8593, 0.6139)  4 Au 2.46-2.66
Li (0.8593, 0.2454, 0.1047)  4 Au 2.46-2.66
Al (0.3162, 0.3162, 0.0000)  2 Au 2.47-2.57
Au (0.1621, 0.4422, 0.6273)  3 Li 2.46-2.66
Au (0.4422, 0.8148, 0.2800)  3 Li 2.46-2.66
Au (0.5348, 0.1621, 0.7200)  3 Li 2.46-2.66
Au (0.8062, 0.8062, 0.0000)  2 Al 2.47-2.57, 4 Li 2.50
Au (0.8148, 0.5348, 0.3727)  3 Li 2.46-2.66

#Q
A geometry-optimized Li4AlAu5 structure, computed with GGA-PBE.

## Properties
M_tot (μB per cell): 0.00

a b c (Å): 3.2218 3.2218 14.9005
angles (deg): 90.00 90.00 90.00
Closest atoms and distances in Å follow each position.
Atoms (fractional coordinates):
Li (0.0000, 0.0000, 0.0988)  8 Au 2.71, 2 Li 2.92-2.94
Li (0.0000, 0.0000, 0.2945)  8 Au 2.70-2.75, 1 Li 2.92
Li (0.0000, 0.0000, 0.7055)  8 Au 2.70-2.75, 1 Li 2.92
Li (0.0000, 0.0000, 0.9012)  8 Au 2.71, 2 Li 2.92-2.94
Al (0.0000, 0.0000, 0.5000)  8 Au 2.74, 2 Li 3.06
Au (0.5000, 0.5000, 0.0000)  8 Li 2.71, 2 Au 2.94
Au (0.5000, 0.5000, 0.1973)  8 Li 2.70-2.71, 2 Au 2.94-2.99
Au (0.5000, 0.5000, 0.3978)  4 Al 2.74, 4 Li 2.75, 2 Au 2.99-3.04
Au (0.5000, 0.5000, 0.6022)  4 Al 2.74, 4 Li 2.75, 2 Au 2.99-3.04
Au (0.5000, 0.5000, 0.8027)  8 Li 2.70-2.71, 2 Au 2.94-2.99

Tell me which of them is the most stable. Sure, it is #Q.